The following is a DFT calculation (GGA-PBE) of a relaxed CeNd3Tl4 crystal.

Unit cell a=10.2627 b=10.2627 c=10.2627 alpha=159.31 beta=137.39 gamma=47.82
Closest atoms and distances in Å follow each position.
Sites, in units of the cell vectors:
Ce: 0.0000 0.0000 0.0000  4 Tl 3.23
Nd: 0.2151 0.7151 0.5000  6 Tl 3.28-3.34
Nd: 0.5000 0.5000 0.0000  8 Tl 3.40, 2 Nd 3.69
Nd: 0.7849 0.2849 0.5000  6 Tl 3.28-3.34
Tl: 0.1632 0.8723 0.2909  1 Tl 3.12, 1 Ce 3.23, 5 Nd 3.28-3.40
Tl: 0.4186 0.1277 0.2909  1 Tl 3.12, 1 Ce 3.23, 5 Nd 3.28-3.40
Tl: 0.5814 0.8723 0.7091  1 Tl 3.12, 1 Ce 3.23, 5 Nd 3.28-3.40
Tl: 0.8368 0.1277 0.7091  1 Tl 3.12, 1 Ce 3.23, 5 Nd 3.28-3.40

Calculated values
- excess energy over the best structure of this formula in the dataset (eV/atom) = 0.151
- calculated density (g/cm³) = 8.95
- magnetic moment (μB/atom) = 0.1960
- energy relative to the elements (meV per atom) = -193
- N(E_F) (states/eV/f.u.) = 13.3

The following is a DFT calculation (GGA-PBE) of a relaxed MgTi2S4 crystal.

Unit cell a=7.3588 b=7.3588 c=7.3588 alpha=121.21 beta=119.26 gamma=89.60
Closest atoms and distances in Å follow each position.
Sites, in units of the cell vectors:
Mg: 0.0000 0.0000 0.0000  6 S 2.57-2.62
Mg: 0.5000 0.0000 0.5000  6 S 2.57-2.62
Ti: 0.0000 0.0000 0.5000  6 S 2.50-2.52
Ti: 0.0000 0.5000 0.0000  6 S 2.50-2.52
Ti: 0.3730 0.6230 0.7500  4 S 2.32-2.37
Ti: 0.6270 0.3770 0.2500  4 S 2.32-2.37
S: 0.2351 0.7497 0.4854  3 Ti 2.37-2.52, 1 Mg 2.62
S: 0.2356 0.2503 0.9854  3 Ti 2.37-2.52, 1 Mg 2.62
S: 0.2393 0.2335 0.4942  2 Ti 2.32-2.50, 2 Mg 2.57
S: 0.2393 0.7451 0.0058  2 Ti 2.32-2.50, 2 Mg 2.57
S: 0.7607 0.2549 0.9942  2 Ti 2.32-2.50, 2 Mg 2.57
S: 0.7607 0.7665 0.5058  2 Ti 2.32-2.50, 2 Mg 2.57
S: 0.7644 0.7497 0.0146  3 Ti 2.37-2.52, 1 Mg 2.62
S: 0.7649 0.2503 0.5146  3 Ti 2.37-2.52, 1 Mg 2.62

Calculated values
- ΔE_f (raw) (meV/atom) = -1228
- calculated density (g/cm³) = 2.94
- magnetic moment (μB/atom) = 0.2864
- N(E_F) (states/eV/f.u.) = 5.1

The following is a DFT calculation (GGA-PBE) of a relaxed Hf6InRe crystal.

Unit cell a=5.5530 b=5.5530 c=5.5530 alpha=93.44 beta=93.44 gamma=93.44
Closest atoms and distances in Å follow each position.
Sites, in units of the cell vectors:
Hf: 0.0172 0.5566 0.7598  1 Re 2.74, 2 Hf 2.79-2.91
Hf: 0.2402 0.9828 0.4434  1 Re 2.74, 2 Hf 2.79-2.91
Hf: 0.4434 0.2402 0.9828  1 Re 2.74, 2 Hf 2.79-2.91
Hf: 0.5566 0.7598 0.0172  1 Re 2.74, 2 Hf 2.79-2.91
Hf: 0.7598 0.0172 0.5566  1 Re 2.74, 2 Hf 2.79-2.91
Hf: 0.9828 0.4434 0.2402  1 Re 2.74, 2 Hf 2.79-2.91
In: 0.5000 0.5000 0.5000  12 Hf 3.13-3.14
Re: 0.0000 0.0000 0.0000  6 Hf 2.74

Calculated values
- calculated density (g/cm³) = 13.38
- magnetic moment (μB/atom) = 0.0000
- energy relative to the elements (meV per atom) = -72
- N(E_F) (states/eV/f.u.) = 7.8

The following is a DFT calculation (GGA-PBE) of a relaxed Sr2CrRh crystal.

Unit cell a=3.5855 b=3.5855 c=8.9302 alpha=90.00 beta=90.00 gamma=90.00
Closest atoms and distances in Å follow each position.
Sites, in units of the cell vectors:
Sr: 0.0000 0.0000 0.0000  1 Cr 3.01
Sr: 0.5000 0.5000 0.4025  1 Rh 3.08, 4 Cr 3.44
Cr: 0.0000 0.0000 0.6624  4 Rh 2.65
Rh: 0.5000 0.5000 0.7476  4 Cr 2.65

Calculated values
- excess energy over the best structure of this formula in the dataset (eV/atom) = 0.135
- calculated density (g/cm³) = 4.78
- magnetic moment (μB/atom) = 0.9635
- energy relative to the elements (meV per atom) = 257
- N(E_F) (states/eV/f.u.) = 6.4